Here is a relaxed structure of KOs3 from the Alexandria database. Energies are from PBE.

Lattice parameters (Å, degrees): 4.9637 4.9637 2.7137 90.00 90.00 90.00
Fractional positions:
K: 0.0000 0.0000 0.0000
Os: 0.0000 0.5000 0.5000
Os: 0.5000 0.0000 0.5000
Os: 0.5000 0.5000 0.0000

Results
Formation energy from the elements in eV/atom: 1.72
Energy above the most stable polymorph in this dataset in meV/atom: 934
Space-group type: No. 123

---

Here is a relaxed structure of KOs3 from the Alexandria database. Energies are from PBE.

Lattice parameters (Å, degrees): 2.6999 3.8110 7.9421 90.00 90.38 90.00
Fractional positions:
K: 0.0000 0.0000 0.0000
Os: 0.0000 0.0000 0.5000
Os: 0.4970 0.5000 0.3397
Os: 0.5030 0.5000 0.6603

Results
Formation energy from the elements in eV/atom: 0.94
Energy above the most stable polymorph in this dataset in meV/atom: 152
Space-group type: No. 10

---

Here is a relaxed structure of KOs3 from the Alexandria database. Energies are from PBE.

Lattice parameters (Å, degrees): 5.9627 5.9627 5.9627 154.02 129.58 57.58
Fractional positions:
K: 0.0000 0.0000 0.0000
Os: 0.2868 0.7868 0.5000
Os: 0.5000 0.5000 0.0000
Os: 0.7132 0.2132 0.5000

Results
Formation energy from the elements in eV/atom: 1.26
Energy above the most stable polymorph in this dataset in meV/atom: 472
Space-group type: No. 71

---

Here is a relaxed structure of KOs4 from the Alexandria database. Energies are from PBE.

Lattice parameters (Å, degrees): 4.4347 4.4347 4.4347 90.00 90.00 90.00
Fractional positions:
K: 0.0000 0.0000 0.0000
Os: 0.0000 0.0000 0.5000
Os: 0.0000 0.5000 0.0000
Os: 0.5000 0.0000 0.0000
Os: 0.5000 0.5000 0.5000

Results
Formation energy from the elements in eV/atom: 4.12
Energy above the most stable polymorph in this dataset in meV/atom: 600
Space-group type: No. 221

---

Here is a relaxed structure of KOs3 from the Alexandria database. Energies are from PBE.

Lattice parameters (Å, degrees): 2.7694 2.7694 9.4316 90.00 90.00 90.00
Fractional positions:
K: 0.0000 0.0000 0.0000
Os: 0.0000 0.0000 0.5000
Os: 0.5000 0.5000 0.3072
Os: 0.5000 0.5000 0.6928

Results
Formation energy from the elements in eV/atom: 0.90
Energy above the most stable polymorph in this dataset in meV/atom: 114
Space-group type: No. 123

---

Here is a relaxed structure of KPOs2 from the Alexandria database. Energies are from PBE.

Lattice parameters (Å, degrees): 3.8784 3.8784 4.5212 90.00 90.00 90.00
Fractional positions:
K: 0.0000 0.0000 0.0000
P: 0.5000 0.5000 0.0000
Os: 0.0000 0.5000 0.5000
Os: 0.5000 0.0000 0.5000

Results
Formation energy from the elements in eV/atom: 1.57
Energy above the most stable polymorph in this dataset in meV/atom: 1175
Space-group type: No. 123

---

Here is a relaxed structure of K2POs from the Alexandria database. Energies are from PBE.

Lattice parameters (Å, degrees): 9.1244 9.1244 9.1244 93.37 93.37 151.94
Fractional positions:
K: 0.3750 0.1392 0.2642
K: 0.8608 0.1250 0.2358
K: 0.8750 0.1108 0.7358
K: 0.8892 0.6250 0.7642
P: 0.0000 0.0000 0.0000
P: 0.7500 0.2500 0.5000
Os: 0.2500 0.7500 0.5000
Os: 0.5000 0.5000 0.0000

Results
Formation energy from the elements in eV/atom: 0.33
Energy above the most stable polymorph in this dataset in meV/atom: 307
Space-group type: No. 122

---

Here is a relaxed structure of KPOs2 from the Alexandria database. Energies are from PBE.

Lattice parameters (Å, degrees): 4.3228 4.3228 3.3787 90.00 90.00 90.00
Fractional positions:
K: 0.0000 0.0000 0.0000
P: 0.5000 0.5000 0.0000
Os: 0.0000 0.5000 0.5000
Os: 0.5000 0.0000 0.5000

Results
Formation energy from the elements in eV/atom: 1.72
Energy above the most stable polymorph in this dataset in meV/atom: 1330
Space-group type: No. 123

---

Here is a relaxed structure of KPOs from the Alexandria database. Energies are from PBE.

Lattice parameters (Å, degrees): 6.5839 6.5839 6.5839 152.89 152.89 38.71
Fractional positions:
K: 0.0000 0.0000 0.0000
P: 0.7050 0.7050 0.0000
Os: 0.2831 0.2831 0.0000

Results
Formation energy from the elements in eV/atom: 0.06
Space-group type: No. 107

---

Here is a relaxed structure of K3POs from the Alexandria database. Energies are from PBE.

Lattice parameters (Å, degrees): 6.1473 6.1473 6.1473 90.00 90.00 90.00
Fractional positions:
K: 0.0000 0.0000 0.5000
K: 0.0000 0.5000 0.0000
K: 0.5000 0.0000 0.0000
P: 0.0000 0.0000 0.0000
Os: 0.5000 0.5000 0.5000

Results
Formation energy from the elements in eV/atom: 1.27
Energy above the most stable polymorph in this dataset in meV/atom: 0
Space-group type: No. 221

---

Here is a relaxed structure of KPOs2 from the Alexandria database. Energies are from PBE.

Lattice parameters (Å, degrees): 6.0262 6.0262 6.0262 153.97 123.16 63.54
Fractional positions:
K: 0.0000 0.0000 0.0000
P: 0.7231 0.2231 0.5000
Os: 0.3256 0.8256 0.5000
Os: 0.5338 0.5338 0.0000

Results
Formation energy from the elements in eV/atom: 0.98
Energy above the most stable polymorph in this dataset in meV/atom: 588
Space-group type: No. 44

---

Here is a relaxed structure of KPOs2 from the Alexandria database. Energies are from PBE.

Lattice parameters (Å, degrees): 2.8455 4.3135 6.7559 90.00 97.39 90.00
Fractional positions:
K: 0.0000 0.0000 0.0000
P: 0.4049 0.5000 0.6832
Os: 0.3512 0.0000 0.4996
Os: 0.8188 0.5000 0.4058

Results
Formation energy from the elements in eV/atom: 0.39
Energy above the most stable polymorph in this dataset in meV/atom: 4
Space-group type: No. 6

---

Here is a relaxed structure of KPOs from the Alexandria database. Energies are from PBE.

Lattice parameters (Å, degrees): 4.4076 4.4076 4.4076 60.00 60.00 60.00
Fractional positions:
K: 0.0000 0.0000 0.0000
P: 0.7500 0.7500 0.7500
Os: 0.5000 0.5000 0.5000

Results
Formation energy from the elements in eV/atom: 1.23
Space-group type: No. 216

---

Here is a relaxed structure of K2POs from the Alexandria database. Energies are from PBE.

Lattice parameters (Å, degrees): 3.1726 3.1726 10.1945 90.00 90.00 90.00
Fractional positions:
K: 0.0000 0.0000 0.0000
K: 0.5000 0.5000 0.4204
P: 0.5000 0.5000 0.7644
Os: 0.0000 0.0000 0.6724

Results
Formation energy from the elements in eV/atom: 0.19
Energy above the most stable polymorph in this dataset in meV/atom: 165
Space-group type: No. 99

---

Here is a relaxed structure of K2POs from the Alexandria database. Energies are from PBE.

Lattice parameters (Å, degrees): 4.9929 4.9929 4.9929 60.00 60.00 60.00
Fractional positions:
K: 0.0000 0.0000 0.0000
K: 0.2500 0.2500 0.2500
P: 0.5000 0.5000 0.5000
Os: 0.7500 0.7500 0.7500

Results
Formation energy from the elements in eV/atom: 1.15
Energy above the most stable polymorph in this dataset in meV/atom: 1125
Space-group type: No. 216

---

Here is a relaxed structure of KPOs2 from the Alexandria database. Energies are from PBE.

Lattice parameters (Å, degrees): 5.3812 5.3812 5.3812 137.91 137.91 61.04
Fractional positions:
K: 0.0000 0.0000 0.0000
P: 0.5000 0.5000 0.0000
Os: 0.2500 0.7500 0.5000
Os: 0.7500 0.2500 0.5000

Results
Formation energy from the elements in eV/atom: 1.61
Energy above the most stable polymorph in this dataset in meV/atom: 1218
Space-group type: No. 139

---

Here is a relaxed structure of K2POs from the Alexandria database. Energies are from PBE.

Lattice parameters (Å, degrees): 6.0156 6.0156 6.0156 142.21 142.21 54.52
Fractional positions:
K: 0.2500 0.7500 0.5000
K: 0.7500 0.2500 0.5000
P: 0.0000 0.0000 0.0000
Os: 0.5000 0.5000 0.0000

Results
Formation energy from the elements in eV/atom: 0.99
Energy above the most stable polymorph in this dataset in meV/atom: 964
Space-group type: No. 139

---

Here is a relaxed structure of K4POs from the Alexandria database. Energies are from PBE.

Lattice parameters (Å, degrees): 6.3611 6.3611 6.3611 60.00 60.00 60.00
Fractional positions:
K: 0.3759 0.3759 0.3759
K: 0.3759 0.3759 0.8722
K: 0.3759 0.8722 0.3759
K: 0.8722 0.3759 0.3759
P: 0.7500 0.7500 0.7500
Os: 0.0000 0.0000 0.0000

Results
Formation energy from the elements in eV/atom: 1.30
Space-group type: No. 216

---

Here is a relaxed structure of KPOs2 from the Alexandria database. Energies are from PBE.

Lattice parameters (Å, degrees): 5.5977 5.5977 5.5977 151.08 125.89 62.52
Fractional positions:
K: 0.0000 0.0000 0.0000
P: 0.5000 0.5000 0.0000
Os: 0.3019 0.8019 0.5000
Os: 0.6981 0.1981 0.5000

Results
Formation energy from the elements in eV/atom: 0.78
Energy above the most stable polymorph in this dataset in meV/atom: 386
Space-group type: No. 71

---

Here is a relaxed structure of KPOs2 from the Alexandria database. Energies are from PBE.

Lattice parameters (Å, degrees): 2.9258 2.9258 8.4802 90.00 90.00 90.00
Fractional positions:
K: 0.0000 0.0000 0.0000
P: 0.0000 0.0000 0.5000
Os: 0.5000 0.5000 0.3433
Os: 0.5000 0.5000 0.6567

Results
Formation energy from the elements in eV/atom: 0.70
Energy above the most stable polymorph in this dataset in meV/atom: 305
Space-group type: No. 123